GaNiP2O8 (PBE with a Hubbard U, optimized geometry); uncorrected energy = -75.45 eV per cell; mass density = 4.368 g/cm3
1.0
-3.206 3.206 2.944
3.206 -3.206 2.944
3.206 3.206 -2.944
Ga Ni P O
1 1 2 8
Direct
0.000 0.000 0.000
0.750 0.250 0.500
0.250 0.750 0.500
0.500 0.500 0.000
0.085 0.397 0.311
0.085 0.774 0.689
0.144 0.328 0.816
0.226 0.915 0.311
0.511 0.328 0.184
0.603 0.915 0.689
0.672 0.489 0.816
0.672 0.856 0.184